(1)
A relaxed structure of CsEuPb2. Source: Alexandria, functional GGA-PBE.

Values from the calculation:
- Total DFT energy (no corrections): -4.9391 eV per atom
- Spin magnetization: 7.26 μB per formula unit
- Density of states at the Fermi level: 10.3 states/eV/f.u.

Cell lengths 4.2632, 4.2632, 8.8280 Å; angles 90.00, 90.00, 90.00 degrees
Closest atoms and distances in Å follow each position.
Element x y z (fractional)
Cs1 0.0000 0.0000 0.0000  8 Pb 4.09, 4 Cs 4.26, 2 Eu 4.41
Eu1 0.0000 0.0000 0.5000  8 Pb 3.44
Pb1 0.5000 0.5000 0.3129  1 Pb 3.30, 4 Eu 3.44
Pb2 0.5000 0.5000 0.6871  1 Pb 3.30, 4 Eu 3.44


(2)
A relaxed structure of Ta2CuAs2. Source: Alexandria, functional GGA-PBE.

Values from the calculation:
- Total DFT energy (no corrections): -7.5556 eV per atom
- Spin magnetization: 0.00 μB per formula unit
- Density of states at the Fermi level: 3.5 states/eV/f.u.

Cell lengths 7.0980, 7.0980, 3.3985 Å; angles 90.00, 90.00, 90.00 degrees
Closest atoms and distances in Å follow each position.
Element x y z (fractional)
Ta1 0.1456 0.3544 0.0000  6 As 2.67-2.70, 2 Cu 2.72, 1 Ta 2.92
Ta2 0.3544 0.8544 0.0000  6 As 2.67-2.70, 2 Cu 2.72, 1 Ta 2.92
Ta3 0.6456 0.1456 0.0000  6 As 2.67-2.70, 2 Cu 2.72, 1 Ta 2.92
Ta4 0.8544 0.6456 0.0000  6 As 2.67-2.70, 2 Cu 2.72, 1 Ta 2.92
Cu1 0.0000 0.0000 0.0000  4 Ta 2.72
Cu2 0.5000 0.5000 0.0000  4 Ta 2.72
As1 0.1493 0.6493 0.5000  6 Ta 2.67-2.70
As2 0.3507 0.1493 0.5000  6 Ta 2.67-2.70
As3 0.6493 0.8507 0.5000  6 Ta 2.67-2.70
As4 0.8507 0.3507 0.5000  6 Ta 2.67-2.70


(3)
A relaxed structure of NaAgP2Se4. Source: Alexandria, functional GGA-PBE.

Values from the calculation:
- Total DFT energy (no corrections): -3.6859 eV per atom
- Spin magnetization: 0.00 μB per formula unit
- Density of states at the Fermi level: 3.7 states/eV/f.u.

Cell lengths 6.3976, 6.3976, 6.3976 Å; angles 120.12, 109.59, 99.38 degrees
Closest atoms and distances in Å follow each position.
Element x y z (fractional)
Na1 0.0000 0.0000 0.0000  4 Se 2.93
Ag1 0.5000 0.0000 0.5000  4 Se 2.71
P1 0.1486 0.5000 0.6486  1 P 2.19, 2 Se 2.21
P2 0.8514 0.5000 0.3514  1 P 2.19, 2 Se 2.21
Se1 0.1136 0.5792 0.0101  1 P 2.21
Se2 0.4309 0.4208 0.5343  1 P 2.21
Se3 0.5691 0.1034 0.9899  1 P 2.21
Se4 0.8864 0.8966 0.4657  1 P 2.21


(4)
A relaxed structure of Nd2HoZrN4. Source: Alexandria, functional GGA-PBE.

Values from the calculation:
- Total DFT energy (no corrections): -8.5458 eV per atom
- Spin magnetization: 0.00 μB per formula unit
- Density of states at the Fermi level: 1.1 states/eV/f.u.

Cell lengths 6.0183, 3.4716, 6.0833 Å; angles 90.00, 109.07, 90.00 degrees
Closest atoms and distances in Å follow each position.
Element x y z (fractional)
Nd1 0.0000 0.0000 0.0000  6 N 2.58-2.60
Nd2 0.5000 0.5000 0.0000  6 N 2.52
Ho1 0.0000 0.5000 0.5000  6 N 2.42
Zr1 0.5000 0.0000 0.5000  6 N 2.33-2.36
N1 0.2537 0.0000 0.7272  1 Zr 2.33, 2 Ho 2.42, 3 Nd 2.52-2.60
N2 0.2677 0.5000 0.2771  2 Zr 2.36, 1 Ho 2.42, 3 Nd 2.52-2.58
N3 0.7323 0.5000 0.7229  2 Zr 2.36, 1 Ho 2.42, 3 Nd 2.52-2.58
N4 0.7463 0.0000 0.2728  1 Zr 2.33, 2 Ho 2.42, 3 Nd 2.52-2.60